Material: MgCo2BrO
Method: DFT, GGA+U
State: relaxed

N(E_F) (states/eV/atom): 1.037
Total energy (eV per atom): -2.664

Unit cell a=4.591 b=4.423 c=4.591 alpha=90.00 beta=90.00 gamma=90.00
Each line ends with the local moment (μB).
Positions (direct):
Mg 0.500 0.500 0.500  -0.03
Co 0.000 0.000 0.500  1.85
Co 0.500 0.000 0.000  2.10
O 0.000 0.500 0.000  0.00
Br 0.000 0.000 0.000  0.01